# TeSF, optimized geometry, DFT PBE
data_TeSF
_cell_length_a 3.063
_cell_length_b 4.087
_cell_length_c 12.392
_cell_angle_alpha 89.21
_cell_angle_beta 83.37
_cell_angle_gamma 68.47
_symmetry_space_group_name_H-M 'P -1'
_symmetry_Int_Tables_number 2
loop_
_symmetry_equiv_pos_as_xyz
'x,y,z'
'-x,-y,-z'
loop_
_atom_site_label
_atom_site_type_symbol
_atom_site_fract_x
_atom_site_fract_y
_atom_site_fract_z
_atom_site_occupancy
Te1 Te 0.062 0.483 0.388 1
S1 S 0.486 0.095 0.931 1
F1 F 0.304 0.193 0.215 1
# Formation energy (no corrections): -46 kJ/mol of atoms
# E above lowest polymorph: 0.255 eV/atom

=====

# Pr4ErS7, optimized geometry, DFT PBE
data_Pr4ErS7
_cell_length_a 13.347
_cell_length_b 3.955
_cell_length_c 11.926
_cell_angle_alpha 90.00
_cell_angle_beta 105.28
_cell_angle_gamma 90.00
_symmetry_space_group_name_H-M 'C 1 m 1'
_symmetry_Int_Tables_number 8
loop_
_symmetry_equiv_pos_as_xyz
'x,y,z'
'x,-y,z'
'x+1/2,y+1/2,z'
'x+1/2,-y+1/2,z'
loop_
_atom_site_label
_atom_site_type_symbol
_atom_site_fract_x
_atom_site_fract_y
_atom_site_fract_z
_atom_site_occupancy
Pr1 Pr 0.000 0.000 0.000 1
Pr2 Pr 0.087 0.500 0.381 1
Pr3 Pr 0.191 0.000 0.768 1
Pr4 Pr 0.388 0.500 0.571 1
Er1 Er 0.276 0.500 0.152 1
S1 S 0.049 0.500 0.625 1
S2 S 0.133 0.500 0.933 1
S3 S 0.159 0.000 0.221 1
S4 S 0.227 0.000 0.522 1
S5 S 0.348 0.500 0.789 1
S6 S 0.382 0.000 0.078 1
S7 S 0.427 0.500 0.350 1
# Formation energy (no corrections): -198 kJ/mol of atoms

=====

# LiPaPb2N, optimized geometry, DFT PBE
data_LiPaPb2N
_cell_length_a 3.868
_cell_length_b 3.868
_cell_length_c 17.141
_cell_angle_alpha 90.00
_cell_angle_beta 90.00
_cell_angle_gamma 90.00
_symmetry_space_group_name_H-M 'P 4/n m m'
_symmetry_Int_Tables_number 129
loop_
_symmetry_equiv_pos_as_xyz
'x,y,z'
'-x,-y,-z'
'-y+1/2,x,z'
'y+1/2,-x,-z'
'-x+1/2,-y+1/2,z'
'x+1/2,y+1/2,-z'
'y,-x+1/2,z'
'-y,x+1/2,-z'
'x+1/2,-y,-z'
'-x+1/2,y,z'
'-y,-x,-z'
'y,x,z'
'-x,y+1/2,-z'
'x,-y+1/2,z'
'y+1/2,x+1/2,-z'
'-y+1/2,-x+1/2,z'
loop_
_atom_site_label
_atom_site_type_symbol
_atom_site_fract_x
_atom_site_fract_y
_atom_site_fract_z
_atom_site_occupancy
Li1 Li 0.250 0.250 0.138 1
Pa1 Pa 0.250 0.250 0.569 1
Pb1 Pb 0.250 0.250 0.303 1
Pb2 Pb 0.250 0.250 0.946 1
N1 N 0.250 0.750 0.500 1
# Formation energy (no corrections): -60 kJ/mol of atoms

=====

# Ac2TmBi, optimized geometry, DFT PBE
data_Ac2TmBi
_cell_length_a 3.6918
_cell_length_b 3.6918
_cell_length_c 38.6783
_cell_angle_alpha 90.00
_cell_angle_beta 90.00
_cell_angle_gamma 120.00
_symmetry_space_group_name_H-M 'R -3 m'
_symmetry_Int_Tables_number 166
_symmetry_space_group_name_Hall '-R 3 2"'
loop_
_atom_site_label
_atom_site_type_symbol
_atom_site_fract_x
_atom_site_fract_y
_atom_site_fract_z
_atom_site_occupancy
Ac1 Ac 0.0000 0.0000 0.0911 1
Tm1 Tm 0.0000 0.0000 0.0000 1
Bi1 Bi 0.0000 0.0000 0.5000 1
# E_form: 0.10 eV per atom
# E above lowest polymorph: 0.417 eV/atom

=====

Values for spin magnetization, μB per cell, ordered as above
0.00 0.00 0.00 0.00